No. 1
A plane-wave DFT calculation with PBE-GGA was carried out for a relaxed structure of AcPPb.

Unit cell a=6.635 b=6.635 c=6.635 alpha=146.21 beta=146.21 gamma=48.54
Element x y z (fractional)
Ac1 0.000 0.000 0.000
P1 0.382 0.382 0.000
Pb1 0.731 0.731 0.000

Calculated values
Space group: No. 107
D(E_F) (states/eV per cell): 1.5
Energy relative to the elements (meV/atom): -400


No. 2
A plane-wave DFT calculation with PBE-GGA was carried out for a relaxed structure of Ac4Pb2O.

Unit cell a=7.125 b=7.475 c=10.054 alpha=90.00 beta=110.12 gamma=90.00
Element x y z (fractional)
Ac1 0.024 0.002 0.289
Ac2 0.024 0.498 0.289
Ac3 0.359 0.250 0.052
Ac4 0.435 0.250 0.654
Ac5 0.565 0.750 0.346
Ac6 0.641 0.750 0.948
Ac7 0.976 0.502 0.711
Ac8 0.976 0.998 0.711
Pb1 0.190 0.750 0.029
Pb2 0.329 0.750 0.595
Pb3 0.671 0.250 0.405
Pb4 0.810 0.250 0.971
O1 0.205 0.250 0.792
O2 0.795 0.750 0.208

Calculated values
Space group: No. 11
D(E_F) (states/eV per cell): 12.8
Formation energy without anion corrections (kJ/mol of formula units): -755


Number 1: total energy -14.4 eV per cell, spin magnetization 0.000 μB per formula unit. Number 2: total energy -73.3 eV per cell, spin magnetization 0.000 μB per formula unit.